# 1
A plane-wave DFT calculation with PBE was carried out for a relaxed structure of ZrAsBr.

E_form (uncorrected), eV per atom: -0.9093
Calculated total energy, eV/atom: -5.866
ΔE to the lowest computed polymorph, eV per atom: 0.000

a b c (Å): 3.8341 3.8341 6.7384
angles (deg): 90.00 90.00 120.00
Space group P3m1 (No. 156)
Symmetry-distinct sites (fractional):
Zr (0.0000, 0.0000, 0.0000)
As (0.3333, 0.6667, 0.2089)
Br (0.6667, 0.3333, 0.7237)

=====

# 2
A plane-wave DFT calculation with PBE was carried out for a relaxed structure of NdPBr.

E_form (uncorrected), eV per atom: -1.3987
Calculated total energy, eV/atom: -5.349
ΔE to the lowest computed polymorph, eV per atom: 0.000

a b c (Å): 7.589 4.855 11.241
angles (deg): 90.00 106.40 90.00
Space group C2/m (No. 12)
Symmetry-distinct sites (fractional):
Nd (0.173, 0.000, 0.328)
P (0.065, 0.500, 0.424)
Br (0.239, 0.000, 0.830)

=====

Question: What is the formula in the first record?
Answer: ZrAsBr

=====

Question: The lowest E_form (uncorrected) belongs to which entry?
Answer: NdPBr

=====

Question: The highest calculated total energy belongs to which entry?
Answer: NdPBr

=====

Question: Which value of ΔE to the lowest computed polymorph does entry 2 give?
Answer: 0.000 eV per atom